# 1
Crystalline LiLa2Si3 at its relaxed geometry. Source: Alexandria via LeMat-Bulk, functional GGA-PBE.

Unit cell a=6.0278 b=6.0278 c=8.4400 alpha=111.35 beta=111.35 gamma=88.87
Last column: nearest neighbours and their distance in Å.
Fractional coordinates of all 12 atoms:
Si  0.1658  0.6695  0.8353  2 Si 2.39-2.41, 1 Li 2.45
Si  0.8353  0.8353  0.6707  2 Si 2.41, 1 Li 2.46
La  0.2442  0.2442  0.0000  10 Si 3.18-3.29, 2 Li 3.26
Si  0.3305  0.8342  0.1647  2 Si 2.39-2.41, 1 Li 2.45
Si  0.1647  0.1647  0.3293  2 Si 2.41, 1 Li 2.46
La  0.7558  0.7558  0.0000  10 Si 3.18-3.29, 2 Li 3.26
La  0.7500  0.2500  0.5000  8 Si 3.25-3.26, 4 Li 3.25
Li  0.3344  0.3344  0.6687  3 Si 2.45-2.46
Si  0.6695  0.1658  0.8353  2 Si 2.39-2.41, 1 Li 2.45
La  0.2500  0.7500  0.5000  8 Si 3.25-3.26, 4 Li 3.25
Si  0.8342  0.3305  0.1647  2 Si 2.39-2.41, 1 Li 2.45
Li  0.6656  0.6656  0.3313  3 Si 2.45-2.46

Properties
As for the final energy: -64.307 eV/cell. Its size of the total moment is 0.0 μB/f.u. The value obtained for the raw formation energy is -4.12 eV per formula unit.

# 2
Crystalline Mg5Ga2Sn2 at its relaxed geometry. Source: Alexandria via LeMat-Bulk, functional GGA-PBE.

Unit cell a=8.6368 b=6.2698 c=9.2851 alpha=109.73 beta=117.72 gamma=90.00
Last column: nearest neighbours and their distance in Å.
Fractional coordinates of all 18 atoms:
Sn  0.7727  0.7679  0.5000  9 Mg 3.11-3.47
Sn  0.2273  0.2679  0.5000  9 Mg 3.11-3.47
Mg  0.1446  0.7847  0.5000  2 Ga 2.78
Mg  0.5785  0.6330  0.7081  2 Ga 2.72-2.73
Sn  0.0000  0.0070  0.0000  4 Mg 2.95-3.03, 2 Ga 2.99
Ga  0.8967  0.4923  0.8344  1 Ga 2.54, 5 Mg 2.72-2.84
Mg  0.4215  0.9249  0.2919  2 Ga 2.72-2.73
Mg  0.8173  0.8721  0.1759  2 Ga 2.83-2.84, 2 Sn 2.95-3.03, 3 Mg 3.11-3.16
Mg  0.8554  0.2847  0.5000  2 Ga 2.78
Mg  0.6295  0.1330  0.7081  2 Ga 2.72-2.73
Mg  0.8587  0.3721  0.1759  2 Ga 2.83-2.84, 2 Sn 2.95-3.03, 3 Mg 3.11-3.16
Mg  0.3705  0.4249  0.2919  2 Ga 2.72-2.73
Ga  0.4377  0.9923  0.8344  1 Ga 2.54, 5 Mg 2.72-2.84
Sn  0.5000  0.5070  0.0000  4 Mg 2.95-3.03, 2 Ga 2.99
Ga  0.5623  0.1579  0.1656  1 Ga 2.54, 5 Mg 2.72-2.84
Ga  0.1033  0.6579  0.1656  1 Ga 2.54, 5 Mg 2.72-2.84
Mg  0.1827  0.6962  0.8241  2 Ga 2.83-2.84, 2 Sn 2.95-3.03, 3 Mg 3.11-3.16
Mg  0.1413  0.1962  0.8241  2 Ga 2.83-2.84, 2 Sn 2.95-3.03, 3 Mg 3.11-3.16

Properties
As for the energy of formation: -0.064 eV per atom. As for the final energy: -45.219 eV/cell. As for the excess energy over the best structure of this formula in the dataset: 55.4 meV/atom. Its size of the total moment is 0.0 μB/f.u.